{"formula": "Sm4BiTeS2", "functional": "PBE-GGA", "state": "optimized geometry", "sg": "P2/m", "formation_energy_uncorrected_ev_per_atom": -1.570, "lattice_angstrom": [[-0.051, -2.398, -3.451], [-5.977, -3.708, 2.666], [-6.048, 3.371, -2.253]], "species": ["Sm", "Sm", "Sm", "Sm", "Bi", "Te", "S", "S"], "fractional_positions": [[0.000, 0.788, 0.738], [0.000, 0.212, 0.262], [0.500, 0.790, 0.234], [0.500, 0.210, 0.766], [0.500, 0.500, 0.000], [0.000, 0.500, 0.500], [0.000, 0.000, 0.000], [0.500, 0.000, 0.500]]}